Computed, not measured: a relaxed structure of V3RhO8 at the PBE+U level of DFT.

Summary:
Energy ... -7.401 eV/atom
Calculated density ... 4.33 g/cm³
Space group ... Cm, No. 8
Total moment ... 1.98 Bohr magnetons per cell

abc: 6.3533 6.3533 6.5240
angles: 106.40 106.40 35.78
Fractional coordinates of all 12 atoms:
V 0.0000 0.0000 0.0000
V 0.0978 0.0978 0.5870
V 0.7894 0.7894 0.5513
Rh 0.6930 0.6930 0.9649
O 0.0358 0.0358 0.2716
O 0.1533 0.1533 0.9223
O 0.2577 0.2577 0.5872
O 0.5261 0.5261 0.9708
O 0.6344 0.6344 0.6282
O 0.7522 0.7522 0.2798
O 0.8486 0.8486 0.9116
O 0.9569 0.9569 0.6265

Computed, not measured: a relaxed structure of V3RhO at the PBE+U level of DFT.

Summary:
Energy ... -6.925 eV/atom
D(E_F) ... 1.202 states/eV per atom
Energy above the most stable polymorph in this dataset ... 0 kJ/mol of formula units
Calculated density ... 6.39 g/cm³
Space group ... Pm-3m, No. 221
Total moment ... 8.02 Bohr magnetons per cell

abc: 4.1341 4.1341 4.1341
angles: 90.00 90.00 90.00
Fractional coordinates of all 5 atoms:
V 0.0000 0.0000 0.5000
V 0.0000 0.5000 0.0000
V 0.5000 0.0000 0.0000
Rh 0.5000 0.5000 0.5000
O 0.0000 0.0000 0.0000

Computed, not measured: a relaxed structure of V3RhO9 at the PBE+U level of DFT.

Summary:
Energy ... -7.317 eV/atom
Calculated density ... 3.18 g/cm³
Space group ... Cc, No. 9
Total moment ... 0.00 Bohr magnetons per cell

abc: 7.9642 7.9642 10.2071
angles: 121.81 121.81 52.83
Fractional coordinates of all 26 atoms:
V 0.0235 0.9765 0.5000
V 0.2768 0.4778 0.5684
V 0.4778 0.2768 0.0684
V 0.5232 0.7230 0.4319
V 0.7230 0.5232 0.9319
V 0.9765 0.0235 0.0000
Rh 0.0006 0.4998 0.7502
Rh 0.4998 0.0006 0.2502
O 0.0080 0.7880 0.8389
O 0.0985 0.7546 0.5544
O 0.1424 0.3919 0.5877
O 0.2115 0.9938 0.1615
O 0.2460 0.8994 0.4452
O 0.3006 0.3766 0.9076
O 0.3766 0.3006 0.4076
O 0.3919 0.1424 0.0877
O 0.4997 0.5014 0.7501
O 0.5014 0.4997 0.2501
O 0.6074 0.8592 0.4128
O 0.6233 0.7009 0.0927
O 0.7009 0.6233 0.5927
O 0.7546 0.0985 0.0544
O 0.7880 0.0080 0.3389
O 0.8592 0.6074 0.9128
O 0.8994 0.2460 0.9452
O 0.9938 0.2115 0.6615

Computed, not measured: a relaxed structure of V2RhO at the PBE+U level of DFT.

Summary:
Energy ... -7.023 eV/atom
D(E_F) ... 0.662 states/eV per atom
Calculated density ... 6.23 g/cm³
Space group ... I-42d, No. 122
Total moment ... 9.23 Bohr magnetons per cell

abc: 5.3710 5.3710 5.3710
angles: 113.32 113.32 102.02
Fractional coordinates of all 8 atoms:
V 0.0471 0.6250 0.9221
V 0.3750 0.2971 0.4221
V 0.7029 0.1250 0.0779
V 0.8750 0.9529 0.5779
Rh 0.2500 0.7500 0.5000
Rh 0.5000 0.5000 0.0000
O 0.0000 0.0000 0.0000
O 0.7500 0.2500 0.5000